# CdPt (GGA-PBE, optimized geometry)
data_CdPt
_symmetry_space_group_name_H-M 'P 4/m m m'
_symmetry_Int_Tables_number 123
_symmetry_space_group_name_Hall '-P 4 2'
_cell_length_a 3.012
_cell_length_b 3.012
_cell_length_c 3.867
_cell_angle_alpha 90.00
_cell_angle_beta 90.00
_cell_angle_gamma 90.00
loop_
_atom_site_label
_atom_site_type_symbol
_atom_site_fract_x
_atom_site_fract_y
_atom_site_fract_z
Cd1 Cd 0.000 0.000 0.000
Pt1 Pt 0.500 0.500 0.500
# Fermi-level density of states: 0.26 states/eV per atom
# DFT formation energy: -0.3241 eV/atom
# volume: 17.5 Å³/atom
# theoretical density: 14.56 g/cm3

# K8Rb6Hg (GGA-PBE, optimized geometry)
data_K8Rb6Hg
_symmetry_space_group_name_H-M 'R -3'
_symmetry_Int_Tables_number 148
_symmetry_space_group_name_Hall '-R 3'
_cell_length_a 12.7911
_cell_length_b 12.7911
_cell_length_c 23.9305
_cell_angle_alpha 90.00
_cell_angle_beta 90.00
_cell_angle_gamma 120.00
loop_
_atom_site_label
_atom_site_type_symbol
_atom_site_fract_x
_atom_site_fract_y
_atom_site_fract_z
K1 K 0.0000 0.0000 0.2419
K2 K 0.0505 0.8085 0.9131
Rb1 Rb 0.0344 0.7969 0.4128
Hg1 Hg 0.0000 0.0000 0.0000
# Fermi-level density of states: 0.88 states/eV per atom
# DFT formation energy: -0.0202 eV/atom
# volume: 75.4 Å³/atom
# theoretical density: 1.51 g/cm3

# Ta2AgSb (GGA-PBE, optimized geometry)
data_Ta2AgSb
_symmetry_space_group_name_H-M 'R 3 m'
_symmetry_Int_Tables_number 160
_symmetry_space_group_name_Hall 'R 3 -2"'
_cell_length_a 3.0538
_cell_length_b 3.0538
_cell_length_c 29.9809
_cell_angle_alpha 90.00
_cell_angle_beta 90.00
_cell_angle_gamma 120.00
loop_
_atom_site_label
_atom_site_type_symbol
_atom_site_fract_x
_atom_site_fract_y
_atom_site_fract_z
Ta1 Ta 0.0000 0.0000 0.0000
Ta2 Ta 0.0000 0.0000 0.2517
Ag1 Ag 0.0000 0.0000 0.7460
Sb1 Sb 0.0000 0.0000 0.5056
# Fermi-level density of states: 0.86 states/eV per atom
# volume: 20.2 Å³/atom
# theoretical density: 12.17 g/cm3
# formation energy (no corrections): 0.308 eV per atom

# B5C7 (GGA-PBE, optimized geometry)
data_B5C7
_symmetry_space_group_name_H-M 'C 1 m 1'
_symmetry_Int_Tables_number 8
_symmetry_space_group_name_Hall 'C -2y'
_cell_length_a 14.667
_cell_length_b 2.636
_cell_length_c 4.451
_cell_angle_alpha 90.00
_cell_angle_beta 94.04
_cell_angle_gamma 90.00
loop_
_atom_site_label
_atom_site_type_symbol
_atom_site_fract_x
_atom_site_fract_y
_atom_site_fract_z
B1 B 0.000 0.000 0.000
B2 B 0.001 0.500 0.501
B3 B 0.172 0.500 0.900
B4 B 0.288 0.000 0.641
B5 B 0.344 0.500 0.118
C1 C 0.033 0.000 0.342
C2 C 0.140 0.000 0.392
C3 C 0.175 0.000 0.728
C4 C 0.183 0.500 0.260
C5 C 0.286 0.500 0.399
C6 C 0.368 0.000 0.932
C7 C 0.468 0.000 0.821
# Fermi-level density of states: 0.12 states/eV per atom
# distance to the lowest polymorph of the same formula: 0.0631 eV/atom
# DFT formation energy: 0.3210 eV/atom
# volume: 7.2 Å³/atom
# theoretical density: 2.67 g/cm3

# MgIrBr2 (GGA-PBE, optimized geometry)
data_MgIrBr2
_symmetry_space_group_name_H-M 'I -4 2 d'
_symmetry_Int_Tables_number 122
_symmetry_space_group_name_Hall 'I -4 2bw'
_cell_length_a 4.745
_cell_length_b 4.745
_cell_length_c 16.126
_cell_angle_alpha 90.00
_cell_angle_beta 90.00
_cell_angle_gamma 90.00
loop_
_atom_site_label
_atom_site_type_symbol
_atom_site_fract_x
_atom_site_fract_y
_atom_site_fract_z
Mg1 Mg 0.000 0.000 0.000
Ir1 Ir 0.000 0.000 0.500
Br1 Br 0.230 0.250 0.625
# Fermi-level density of states: 1.46 states/eV per atom
# distance to the lowest polymorph of the same formula: 0.4346 eV/atom
# volume: 22.7 Å³/atom
# theoretical density: 6.88 g/cm3
# formation energy (no corrections): 0.198 eV per atom

# LaCuPd (GGA-PBE, optimized geometry)
data_LaCuPd
_symmetry_space_group_name_H-M 'P -6 m 2'
_symmetry_Int_Tables_number 187
_symmetry_space_group_name_Hall 'P -6 2'
_cell_length_a 4.4601
_cell_length_b 4.4601
_cell_length_c 3.8048
_cell_angle_alpha 90.00
_cell_angle_beta 90.00
_cell_angle_gamma 120.00
loop_
_atom_site_label
_atom_site_type_symbol
_atom_site_fract_x
_atom_site_fract_y
_atom_site_fract_z
La1 La 0.0000 0.0000 0.0000
Cu1 Cu 0.3333 0.6667 0.5000
Pd1 Pd 0.6667 0.3333 0.5000
# Fermi-level density of states: 0.38 states/eV per atom
# distance to the lowest polymorph of the same formula: 0.0000 eV/atom
# DFT formation energy: -0.5646 eV/atom
# volume: 21.8 Å³/atom
# theoretical density: 7.82 g/cm3

# CrCuSe2 (GGA-PBE, optimized geometry)
data_CrCuSe2
_symmetry_space_group_name_H-M 'I m m 2'
_symmetry_Int_Tables_number 44
_symmetry_space_group_name_Hall 'I 2 -2'
_cell_length_a 3.380
_cell_length_b 3.516
_cell_length_c 12.954
_cell_angle_alpha 90.00
_cell_angle_beta 90.00
_cell_angle_gamma 90.00
loop_
_atom_site_label
_atom_site_type_symbol
_atom_site_fract_x
_atom_site_fract_y
_atom_site_fract_z
Cr1 Cr 0.000 0.000 0.000
Cu1 Cu 0.000 0.500 0.828
Se1 Se 0.000 0.000 0.580
Se2 Se 0.000 0.500 0.343
# Fermi-level density of states: 0.39 states/eV per atom
# distance to the lowest polymorph of the same formula: 0.2476 eV/atom
# volume: 19.2 Å³/atom
# theoretical density: 5.90 g/cm3
# formation energy (no corrections): -0.121 eV per atom

# Fe9Pt11Rh4 (GGA-PBE, optimized geometry)
data_Fe9Pt11Rh4
_symmetry_space_group_name_H-M 'C m m m'
_symmetry_Int_Tables_number 65
_symmetry_space_group_name_Hall '-C 2 2'
_cell_length_a 15.711
_cell_length_b 16.133
_cell_length_c 2.723
_cell_angle_alpha 90.00
_cell_angle_beta 90.00
_cell_angle_gamma 90.00
loop_
_atom_site_label
_atom_site_type_symbol
_atom_site_fract_x
_atom_site_fract_y
_atom_site_fract_z
Fe1 Fe 0.000 0.000 0.000
Fe2 Fe 0.118 0.416 0.000
Fe3 Fe 0.122 0.244 0.000
Pt1 Pt 0.000 0.153 0.500
Pt2 Pt 0.000 0.328 0.500
Pt3 Pt 0.000 0.500 0.500
Pt4 Pt 0.238 0.332 0.500
Pt5 Pt 0.238 0.500 0.500
Rh1 Rh 0.135 0.084 0.000
# Fermi-level density of states: 1.02 states/eV per atom
# DFT formation energy: -0.1413 eV/atom
# volume: 14.4 Å³/atom
# theoretical density: 14.73 g/cm3

Copy entry 7 word for word.
# CrCuSe2 (GGA-PBE, optimized geometry)
data_CrCuSe2
_symmetry_space_group_name_H-M 'I m m 2'
_symmetry_Int_Tables_number 44
_symmetry_space_group_name_Hall 'I 2 -2'
_cell_length_a 3.380
_cell_length_b 3.516
_cell_length_c 12.954
_cell_angle_alpha 90.00
_cell_angle_beta 90.00
_cell_angle_gamma 90.00
loop_
_atom_site_label
_atom_site_type_symbol
_atom_site_fract_x
_atom_site_fract_y
_atom_site_fract_z
Cr1 Cr 0.000 0.000 0.000
Cu1 Cu 0.000 0.500 0.828
Se1 Se 0.000 0.000 0.580
Se2 Se 0.000 0.500 0.343
# Fermi-level density of states: 0.39 states/eV per atom
# distance to the lowest polymorph of the same formula: 0.2476 eV/atom
# volume: 19.2 Å³/atom
# theoretical density: 5.90 g/cm3
# formation energy (no corrections): -0.121 eV per atom

- Look up the volume of the fourth one.
  7.2 Å³/atom

- Among the records above, which one has the highest theoretical density?
  Fe9Pt11Rh4

- Which value of Fermi-level density of states does entry 3 give?
  0.86 states/eV per atom